Computed, not measured: a relaxed structure of Na2CdBi2 at the PBE-GGA level of DFT.

Calculated values
Calculated total energy = -11.64 eV/f.u.
DOS(E_F) = 6.06 states/eV/cell
Formation energy = -0.33 eV/f.u.
Distance to the lowest polymorph of the same formula = 0.80 eV/f.u.

```
Na2CdBi2
1.0
-5.198 3.345 7.405
-7.993 -3.686 -3.946
0.487 -2.754 1.586
Na Bi Cd
4 4 2
Cartesian
-8.990 -1.972 -0.663
-9.534 0.648 4.054
-4.201 1.631 4.123
-3.657 -0.989 -0.595
-6.088 -3.281 -0.567
-9.853 -2.146 2.559
-6.616 0.185 5.613
-2.850 -0.950 2.486
0.000 0.000 0.000
-6.595 -0.171 1.730
```